# 1
Compound: Na2Tb2F7
Source: Alexandria
Functional: PBE-GGA
Structure: optimized geometry

CIF file:
```
data_Na2Tb2F7
_symmetry_space_group_name_H-M 'C 1 2/m 1'
_symmetry_Int_Tables_number 12
_cell_length_a 8.1863
_cell_length_b 7.5704
_cell_length_c 5.7502
_cell_angle_alpha 90.00
_cell_angle_beta 90.07
_cell_angle_gamma 90.00
loop_
_symmetry_equiv_pos_as_xyz
'x,y,z'
'-x,-y,-z'
'-x,y,-z'
'x,-y,z'
'x+1/2,y+1/2,z'
'-x+1/2,-y+1/2,-z'
'-x+1/2,y+1/2,-z'
'x+1/2,-y+1/2,z'
loop_
_atom_site_label
_atom_site_type_symbol
_atom_site_fract_x
_atom_site_fract_y
_atom_site_fract_z
Na1 Na 0.0000 0.2430 0.0000
Tb1 Tb 0.2306 0.0000 0.5001
F1 F 0.9998 0.0000 0.2743
F2 F 0.0000 0.5000 0.5000
F3 F 0.2498 0.2499 0.2749
```

ΔE_f (raw) (eV per atom): -3.45
Uncorrected energy (eV/atom): -5.72


# 2
Compound: NaTbF3
Source: Alexandria
Functional: PBE-GGA
Structure: optimized geometry

CIF file:
```
data_NaTbF3
_symmetry_space_group_name_H-M 'C 1 2/m 1'
_symmetry_Int_Tables_number 12
_cell_length_a 13.0780
_cell_length_b 4.1978
_cell_length_c 6.5118
_cell_angle_alpha 90.00
_cell_angle_beta 110.12
_cell_angle_gamma 90.00
loop_
_symmetry_equiv_pos_as_xyz
'x,y,z'
'-x,-y,-z'
'-x,y,-z'
'x,-y,z'
'x+1/2,y+1/2,z'
'-x+1/2,-y+1/2,-z'
'-x+1/2,y+1/2,-z'
'x+1/2,-y+1/2,z'
loop_
_atom_site_label
_atom_site_type_symbol
_atom_site_fract_x
_atom_site_fract_y
_atom_site_fract_z
Na1 Na 0.1173 0.0000 0.3253
Tb1 Tb 0.1009 0.5000 0.8080
F1 F 0.0816 0.5000 0.4293
F2 F 0.0937 0.0000 0.6912
F3 F 0.2229 0.0000 0.1202
```

ΔE_f (raw) (eV per atom): -3.14
Uncorrected energy (eV/atom): -5.45


# 3
Compound: NaTbF2
Source: Alexandria
Functional: PBE-GGA
Structure: optimized geometry

CIF file:
```
data_NaTbF2
_symmetry_space_group_name_H-M 'R -3 m'
_symmetry_Int_Tables_number 166
_symmetry_space_group_name_Hall '-R 3 2"'
_cell_length_a 3.3433
_cell_length_b 3.3433
_cell_length_c 23.5537
_cell_angle_alpha 90.00
_cell_angle_beta 90.00
_cell_angle_gamma 120.00
loop_
_atom_site_label
_atom_site_type_symbol
_atom_site_fract_x
_atom_site_fract_y
_atom_site_fract_z
Na1 Na 0.0000 0.0000 0.0000
Tb1 Tb 0.0000 0.0000 0.5000
F1 F 0.0000 0.0000 0.1021
```

ΔE_f (raw) (eV per atom): -2.31
Uncorrected energy (eV/atom): -4.74


# 4
Compound: Na2TbZnF8
Source: Alexandria
Functional: PBE-GGA
Structure: optimized geometry

CIF file:
```
data_Na2TbZnF8
_symmetry_space_group_name_H-M 'P -1'
_symmetry_Int_Tables_number 2
_cell_length_a 3.9194
_cell_length_b 5.5267
_cell_length_c 7.2726
_cell_angle_alpha 89.84
_cell_angle_beta 89.95
_cell_angle_gamma 85.34
loop_
_symmetry_equiv_pos_as_xyz
'x,y,z'
'-x,-y,-z'
loop_
_atom_site_label
_atom_site_type_symbol
_atom_site_fract_x
_atom_site_fract_y
_atom_site_fract_z
Na1 Na 0.0004 0.0002 0.2383
Tb1 Tb 0.5000 0.5000 0.5000
Zn1 Zn 0.5000 0.5000 0.0000
F1 F 0.0027 0.7345 0.5007
F2 F 0.0865 0.7188 0.0008
F3 F 0.4482 0.2730 0.7620
F4 F 0.4480 0.2755 0.2369
```

ΔE_f (raw) (eV per atom): -2.83
Uncorrected energy (eV/atom): -4.79


# 5
Compound: Na3TcF
Source: Alexandria
Functional: PBE-GGA
Structure: optimized geometry

CIF file:
```
data_Na3TcF
_symmetry_space_group_name_H-M 'P m -3 m'
_symmetry_Int_Tables_number 221
_symmetry_space_group_name_Hall '-P 4 2 3'
_cell_length_a 5.8462
_cell_length_b 5.8462
_cell_length_c 5.8462
_cell_angle_alpha 90.00
_cell_angle_beta 90.00
_cell_angle_gamma 90.00
loop_
_atom_site_label
_atom_site_type_symbol
_atom_site_fract_x
_atom_site_fract_y
_atom_site_fract_z
Na1 Na 0.0000 0.0000 0.5000
Tc1 Tc 0.0000 0.0000 0.0000
F1 F 0.5000 0.5000 0.5000
```

ΔE_f (raw) (eV per atom): 0.61
Energy above the lowest structure with this stoichiometry (eV/f.u.): 3.84
Uncorrected energy (eV/atom): -2.63


# 6
Compound: NaTcF5
Source: Alexandria
Functional: PBE-GGA
Structure: optimized geometry

CIF file:
```
data_NaTcF5
_symmetry_space_group_name_H-M 'C 1 2/c 1'
_symmetry_Int_Tables_number 15
_cell_length_a 9.1662
_cell_length_b 6.7513
_cell_length_c 7.8322
_cell_angle_alpha 90.00
_cell_angle_beta 114.45
_cell_angle_gamma 90.00
loop_
_symmetry_equiv_pos_as_xyz
'x,y,z'
'-x,-y,-z'
'-x,y,-z+1/2'
'x,-y,z+1/2'
'x+1/2,y+1/2,z'
'-x+1/2,-y+1/2,-z'
'-x+1/2,y+1/2,-z+1/2'
'x+1/2,-y+1/2,z+1/2'
loop_
_atom_site_label
_atom_site_type_symbol
_atom_site_fract_x
_atom_site_fract_y
_atom_site_fract_z
Na1 Na 0.0000 0.0245 0.2500
Tc1 Tc 0.0000 0.5000 0.0000
F1 F 0.0000 0.4206 0.2500
F2 F 0.0203 0.2166 0.9694
F3 F 0.2303 0.4700 0.6188
```

ΔE_f (raw) (eV per atom): -2.33
Uncorrected energy (eV/atom): -5.34


# 7
Compound: Na2TcF6
Source: Alexandria
Functional: PBE-GGA
Structure: optimized geometry

CIF file:
```
data_Na2TcF6
_symmetry_space_group_name_H-M 'P -3 m 1'
_symmetry_Int_Tables_number 164
_symmetry_space_group_name_Hall '-P 3 2"'
_cell_length_a 5.6370
_cell_length_b 5.6370
_cell_length_c 4.4901
_cell_angle_alpha 90.00
_cell_angle_beta 90.00
_cell_angle_gamma 120.00
loop_
_atom_site_label
_atom_site_type_symbol
_atom_site_fract_x
_atom_site_fract_y
_atom_site_fract_z
Na1 Na 0.3333 0.6667 0.1375
Tc1 Tc 0.0000 0.0000 0.5000
F1 F 0.1680 0.3360 0.7410
```

ΔE_f (raw) (eV per atom): -2.42
Energy above the lowest structure with this stoichiometry (eV/f.u.): 0.84
Uncorrected energy (eV/atom): -5.11


# 8
Compound: Na3TcF7
Source: Alexandria
Functional: PBE-GGA
Structure: optimized geometry

CIF file:
```
data_Na3TcF7
_symmetry_space_group_name_H-M 'C 1 m 1'
_symmetry_Int_Tables_number 8
_cell_length_a 7.5950
_cell_length_b 7.8777
_cell_length_c 6.1402
_cell_angle_alpha 90.00
_cell_angle_beta 124.22
_cell_angle_gamma 90.00
loop_
_symmetry_equiv_pos_as_xyz
'x,y,z'
'x,-y,z'
'x+1/2,y+1/2,z'
'x+1/2,-y+1/2,z'
loop_
_atom_site_label
_atom_site_type_symbol
_atom_site_fract_x
_atom_site_fract_y
_atom_site_fract_z
Na1 Na 0.0000 0.0000 0.0000
Na2 Na 0.0244 0.2735 0.5653
Tc1 Tc 0.4756 0.0000 0.0300
F1 F 0.1545 0.0000 0.7588
F2 F 0.1549 0.5000 0.8794
F3 F 0.1738 0.3354 0.3069
F4 F 0.3564 0.0000 0.2611
F5 F 0.3943 0.2277 0.8365
```

ΔE_f (raw) (eV per atom): -2.42
Uncorrected energy (eV/atom): -4.91


Repeat the sixth record exactly.
Compound: NaTcF5
Source: Alexandria
Functional: PBE-GGA
Structure: optimized geometry

CIF file:
```
data_NaTcF5
_symmetry_space_group_name_H-M 'C 1 2/c 1'
_symmetry_Int_Tables_number 15
_cell_length_a 9.1662
_cell_length_b 6.7513
_cell_length_c 7.8322
_cell_angle_alpha 90.00
_cell_angle_beta 114.45
_cell_angle_gamma 90.00
loop_
_symmetry_equiv_pos_as_xyz
'x,y,z'
'-x,-y,-z'
'-x,y,-z+1/2'
'x,-y,z+1/2'
'x+1/2,y+1/2,z'
'-x+1/2,-y+1/2,-z'
'-x+1/2,y+1/2,-z+1/2'
'x+1/2,-y+1/2,z+1/2'
loop_
_atom_site_label
_atom_site_type_symbol
_atom_site_fract_x
_atom_site_fract_y
_atom_site_fract_z
Na1 Na 0.0000 0.0245 0.2500
Tc1 Tc 0.0000 0.5000 0.0000
F1 F 0.0000 0.4206 0.2500
F2 F 0.0203 0.2166 0.9694
F3 F 0.2303 0.4700 0.6188
```

ΔE_f (raw) (eV per atom): -2.33
Uncorrected energy (eV/atom): -5.34


The lowest ΔE_f (raw) belongs to which entry? Na2Tb2F7


Which of these has the lowest uncorrected energy? Na2Tb2F7